HoSiHO4 | PBE-GGA | optimized geometry

Cell: 4.8225 8.8550 6.7306 Å, 90.00 90.00 90.00°
With the nearest neighbours (Å) after each atom.
Atoms (fractional coordinates):
H  0.0000  0.0000  0.0000  2 O 1.23
H  0.5000  0.5000  0.0000  2 O 1.23
H  0.0000  0.0000  0.5000  2 O 1.23
H  0.5000  0.5000  0.5000  2 O 1.23
Ho  0.8055  0.2993  0.2500  4 O 2.18-2.33
Ho  0.6945  0.7993  0.2500  4 O 2.18-2.33
Ho  0.3055  0.2007  0.7500  4 O 2.18-2.33
Ho  0.1945  0.7007  0.7500  4 O 2.18-2.33
O  0.1215  0.1163  0.0510  1 H 1.23
O  0.3785  0.6163  0.0510  1 H 1.23
O  0.6148  0.0760  0.2500  1 Si 1.61
O  0.2569  0.3674  0.2500  1 Si 1.62
O  0.8852  0.5760  0.2500  1 Si 1.61
O  0.2431  0.8674  0.2500  1 Si 1.62
O  0.1215  0.1163  0.4490  1 H 1.23
O  0.3785  0.6163  0.4490  1 H 1.23
O  0.6215  0.3837  0.5510  1 H 1.23
O  0.8785  0.8837  0.5510  1 H 1.23
O  0.7569  0.1326  0.7500  1 Si 1.62
O  0.1148  0.4240  0.7500  1 Si 1.61
O  0.7431  0.6326  0.7500  1 Si 1.62
O  0.3852  0.9240  0.7500  1 Si 1.61
O  0.6215  0.3837  0.9490  1 H 1.23
O  0.8785  0.8837  0.9490  1 H 1.23
Si  0.2840  0.0489  0.2500  4 O 1.61-1.66
Si  0.2160  0.5489  0.2500  4 O 1.61-1.66
Si  0.7840  0.4511  0.7500  4 O 1.61-1.66
Si  0.7160  0.9511  0.7500  4 O 1.61-1.66

Results
As for the energy above the most stable polymorph in this dataset: 104.3 meV per atom. For the total energy, the calculation gives -7.372 eV/atom. As for the space group: No. 62.